An optimized crystal structure of NdCu4P3, computed with GGA-PBE.

Summary:
- SG: P4/mmm

a = 3.8840 Å, b = 3.8840 Å, c = 8.2521 Å
α = 90.00°, β = 90.00°, γ = 90.00°
Positions (direct):
P  0.0000  0.0000  0.0000
P  0.5000  0.5000  0.3302
P  0.5000  0.5000  0.6698
Nd  0.0000  0.0000  0.5000
Cu  0.5000  0.0000  0.1689
Cu  0.0000  0.5000  0.1689
Cu  0.5000  0.0000  0.8311
Cu  0.0000  0.5000  0.8311

---

An optimized crystal structure of NdCu4P2, computed with GGA-PBE.

Summary:
- SG: Pnnm

a = 3.8808 Å, b = 11.0094 Å, c = 14.7017 Å
α = 90.00°, β = 90.00°, γ = 90.00°
Positions (direct):
Nd  0.5000  0.3776  0.2275
Nd  0.5000  0.6224  0.7725
Nd  0.0000  0.8776  0.2725
Nd  0.0000  0.1224  0.7275
Nd  0.5000  0.5000  0.5000
Nd  0.0000  0.0000  0.0000
Cu  0.0000  0.0684  0.4357
Cu  0.5000  0.5684  0.0643
Cu  0.0000  0.6001  0.9463
Cu  0.0000  0.3999  0.0537
Cu  0.5000  0.1001  0.5537
Cu  0.5000  0.4316  0.9357
Cu  0.0000  0.2652  0.5353
Cu  0.0000  0.7348  0.4647
Cu  0.5000  0.7652  0.9647
Cu  0.5000  0.2348  0.0353
Cu  0.0000  0.4259  0.6678
Cu  0.0000  0.5741  0.3322
Cu  0.5000  0.9259  0.8322
Cu  0.5000  0.0741  0.1678
Cu  0.0000  0.8292  0.7160
Cu  0.0000  0.1708  0.2840
Cu  0.5000  0.3292  0.7840
Cu  0.5000  0.6708  0.2160
Cu  0.5000  0.2415  0.4110
Cu  0.5000  0.7585  0.5890
Cu  0.0000  0.7415  0.0890
Cu  0.0000  0.2585  0.9110
Cu  0.5000  0.8999  0.4463
Cu  0.0000  0.9316  0.5643
P  0.5000  0.8654  0.1142
P  0.5000  0.1346  0.8858
P  0.0000  0.3654  0.3858
P  0.0000  0.6346  0.6142
P  0.5000  0.7062  0.3711
P  0.5000  0.2938  0.6289
P  0.5000  0.0577  0.3344
P  0.5000  0.9423  0.6656
P  0.0000  0.5577  0.1656
P  0.0000  0.4423  0.8344
P  0.0000  0.2062  0.1289
P  0.0000  0.7938  0.8711

---

In order of appearance, calculated formation energy = -0.4514, -0.5312 eV per atom.
In order of appearance, total moment = 0.00, 0.00 Bohr magnetons per cell.